Arrangement i

{
  "formula": "ErHfZr2",
  "functional": "PBE",
  "state": "optimized geometry",
  "lattice": [[1.635, 0.944, 10.577], [-1.635, 0.944, 10.577], [0.000, -1.887, 10.577]],
  "species": ["Er", "Hf", "Zr", "Zr"],
  "fractional_positions": [[0.000, 0.000, 0.000], [0.167, 0.167, 0.167], [0.580, 0.580, 0.580], [0.755, 0.755, 0.755]],
  "crystal_system": "trigonal",
  "total_magnetization_mub_per_fu": 0.00
}

---

Arrangement ii

{
  "formula": "ErHfZr2",
  "functional": "PBE",
  "state": "optimized geometry",
  "lattice": [[4.612, 0.000, 0.000], [0.000, 4.612, 0.000], [0.000, 0.000, 4.578]],
  "species": ["Er", "Hf", "Zr", "Zr"],
  "fractional_positions": [[0.000, 0.000, 0.000], [0.500, 0.500, 0.000], [0.000, 0.500, 0.500], [0.500, 0.000, 0.500]],
  "crystal_system": "tetragonal",
  "total_magnetization_mub_per_fu": 0.00
}

---

Most stable to least stable, the ends of the list are arrangement i and arrangement ii.